The following is a DFT calculation (PBE-GGA) of BaPmGa2 after structural relaxation.

Computed properties:
- V (Å³ per atom) = 29.2
- formation enthalpy at 0 K (eV/atom) = -0.436
- E (hartree per atom) = -0.133

Lattice parameters (Å, degrees): 3.874 3.874 7.773 90.00 90.00 90.00
Space group P4/mmm (No. 123)
One atom of each set of equivalent atoms:
Ba: 0.000 0.000 0.000 x1
Pm: 0.000 0.000 0.500 x1
Ga: 0.500 0.500 0.298 x2

The following is a DFT calculation (PBE-GGA) of CeSm2Pu after structural relaxation.

Computed properties:
- V (Å³ per atom) = 31.0
- formation enthalpy at 0 K (eV/atom) = 0.167
- offset from the most stable computed form (eV/atom) = 0.013
- E (hartree per atom) = -0.267

Lattice parameters (Å, degrees): 3.496 3.496 10.142 90.00 90.00 90.00
Space group P4/mmm (No. 123)
One atom of each set of equivalent atoms:
Ce: 0.000 0.000 0.000 x1
Sm: 0.500 0.500 0.249 x2
Pu: 0.000 0.000 0.500 x1

> Number 2 is which compound?

CeSm2Pu